## La2MgS4 (PBEsol)

Data for a relaxed structure of La2MgS4.

Computed properties:
M_tot   0.00 μB/f.u.
V   609 Å³ per cell
Relative energy among the computed polymorphs   0.0 meV per atom
Calculated total energy   -6.217 eV per atom
Raw formation energy   -1.939 eV per atom

abc: 8.3181 8.3181 8.7961
angles: 90.00 90.00 90.00
With the nearest neighbours (Å) after each atom.
Space group I-42d (No. 122)
Symmetry-distinct sites (fractional):
La 0.1289 0.7500 0.1250 (multiplicity 8)  6 S 2.80-2.98
Mg 0.0000 0.0000 0.5000 (multiplicity 4)  4 S 2.65
S 0.0709 0.6947 0.4474 (multiplicity 16)  1 Mg 2.65, 2 La 2.80-2.91